Computed, not measured: a relaxed structure of KNiBr4 at the PBE level of DFT.

**Raw formation energy**: 0.356 eV/atom
**ΔE to the lowest computed polymorph**: 1076 meV per atom

a b c (Å): 9.1909 9.1909 9.1909
angles (deg): 90.00 90.00 90.00
Last column: nearest neighbours and their distance in Å.
Space group F-43m (No. 216)
One atom of each set of equivalent atoms:
K1 0.0000 0.0000 0.0000 x4  12 Br 3.81, 4 Ni 3.98
Ni1 0.2500 0.2500 0.7500 x4  12 Br 3.81, 4 K 3.98
Br1 0.1245 0.1245 0.3755 x16  6 Br 3.24-3.26